DFT (PBEsol) results for a relaxed structure of LaCrCu.

**Density of states at the Fermi level**: 1.84 states/eV/f.u.
**SG**: F-43m (216)

Lattice parameters (Å, degrees): 4.594 4.594 4.594 60.00 60.00 60.00
Last column: magnetic moment on the atom in μB.
Element x y z (fractional)
1 Cr 0.500 0.500 0.500  3.58
2 Cu 0.750 0.750 0.750  0.05
3 La 0.000 0.000 0.000  -0.08


DFT (PBEsol) results for a relaxed structure of LaCrCu2.

**Density of states at the Fermi level**: 2.87 states/eV/f.u.
**SG**: I4/mmm (139)

Lattice parameters (Å, degrees): 4.598 4.753 4.598 118.92 90.00 118.92
Last column: magnetic moment on the atom in μB.
Element x y z (fractional)
1 Cr 0.000 0.000 0.000  3.62
2 Cu 0.750 0.500 0.250  0.05
3 Cu 0.250 0.500 0.750  0.05
4 La 0.500 0.000 0.500  0.01


no.,energy relative to the elements (eV/f.u.),energy above the lowest structure with this stoichiometry (meV/atom),total DFT energy (no corrections) (eV/cell)
1,1.70,121.1,-18.223
2,1.33,0.0,-22.927